Density functional theory data (PBE) for crystalline NaNiCN2 at its relaxed geometry.

a b c (Å): 4.4253 5.1812 5.8601
angles (deg): 90.00 90.25 90.00
Closest atoms and distances in Å follow each position.
Fractional coordinates of all 10 atoms:
Na1 0.0000 0.2100 0.2500  4 N 2.64-2.65, 2 Ni 2.71, 4 C 2.86-2.87
Na2 0.0000 0.7900 0.7500  4 N 2.64-2.65, 2 Ni 2.71, 4 C 2.86-2.87
Ni1 0.5000 0.4892 0.7500  4 N 1.96-2.01
Ni2 0.5000 0.5108 0.2500  4 N 1.96-2.01
C1 0.5000 0.0000 0.0000  2 N 1.25
C2 0.5000 0.0000 0.5000  2 N 1.25
N1 0.4993 0.2417 0.0038  1 C 1.25
N2 0.4993 0.7583 0.5038  1 C 1.25
N3 0.5007 0.2417 0.4962  1 C 1.25
N4 0.5007 0.7583 0.9962  1 C 1.25

Properties
As for the formation energy without anion corrections: 96 meV per atom.



Density functional theory data (PBE) for crystalline Ac2NdBr at its relaxed geometry.

a b c (Å): 12.6803 12.6803 12.6803
angles (deg): 17.18 17.18 17.18
Closest atoms and distances in Å follow each position.
Fractional coordinates of all 4 atoms:
Ac1 0.0977 0.0977 0.0977  3 Br 3.39, 1 Nd 3.66, 6 Ac 3.79
Ac2 0.9023 0.9023 0.9023  3 Br 3.39, 1 Nd 3.66, 6 Ac 3.79
Nd1 0.0000 0.0000 0.0000  2 Ac 3.66, 6 Nd 3.79
Br1 0.5000 0.5000 0.5000  6 Ac 3.39, 6 Br 3.79

Properties
As for the formation energy without anion corrections: -325 meV per atom.



Density functional theory data (PBE) for crystalline CuHgCl2 at its relaxed geometry.

a b c (Å): 4.9098 4.9098 4.9098
angles (deg): 60.00 60.00 60.00
Closest atoms and distances in Å follow each position.
Fractional coordinates of all 4 atoms:
Cu1 0.0000 0.0000 0.0000  8 Cl 3.01
Hg1 0.5000 0.5000 0.5000  8 Cl 3.01
Cl1 0.2500 0.2500 0.2500  4 Hg 3.01, 4 Cu 3.01
Cl2 0.7500 0.7500 0.7500  4 Hg 3.01, 4 Cu 3.01

Properties
For the offset from the most stable computed form, the calculation gives 474 meV per atom. As for the formation energy without anion corrections: 103 meV per atom.



Density functional theory data (PBE) for crystalline Y2ScAgO at its relaxed geometry.

a b c (Å): 4.8611 4.8611 4.2948
angles (deg): 90.00 90.00 90.00
Closest atoms and distances in Å follow each position.
Fractional coordinates of all 5 atoms:
Y1 0.0000 0.5000 0.0000  2 O 2.43
Y2 0.5000 0.0000 0.0000  2 O 2.43
Sc1 0.0000 0.0000 0.5000  2 O 2.15
Ag1 0.5000 0.5000 0.5000  8 Y 3.24, 4 Sc 3.44
O1 0.0000 0.0000 0.0000  2 Sc 2.15

Properties
As for the formation energy without anion corrections: -1272 meV per atom.



Density functional theory data (PBE) for crystalline Ac2NdMg at its relaxed geometry.

a b c (Å): 5.4605 5.4605 4.9738
angles (deg): 90.00 90.00 90.00
Closest atoms and distances in Å follow each position.
Fractional coordinates of all 4 atoms:
Ac1 0.0000 0.5000 0.0000  4 Mg 3.69, 4 Nd 3.69, 4 Ac 3.86
Ac2 0.5000 0.0000 0.0000  4 Mg 3.69, 4 Nd 3.69, 4 Ac 3.86
Nd1 0.0000 0.0000 0.5000  8 Ac 3.69, 4 Mg 3.86
Mg1 0.5000 0.5000 0.5000  8 Ac 3.69, 4 Nd 3.86

Properties
For the offset from the most stable computed form, the calculation gives 48 meV per atom. The formation enthalpy at 0 K is 0.025 eV per atom.



Density functional theory data (PBE) for crystalline CsLiTe at its relaxed geometry.

a b c (Å): 7.0275 7.0275 7.0275
angles (deg): 144.93 144.93 50.43
Closest atoms and distances in Å follow each position.
Fractional coordinates of all 3 atoms:
Cs1 0.0000 0.0000 0.0000  1 Li 3.07
Li1 0.2415 0.2415 0.0000  4 Te 3.03, 1 Cs 3.07
Te1 0.7054 0.7054 0.0000  4 Li 3.03

Properties
As for the formation energy without anion corrections: -775 meV per atom.



Density functional theory data (PBE) for crystalline TlAg2HgP at its relaxed geometry.

a b c (Å): 4.7537 4.7537 6.0160
angles (deg): 90.00 90.00 90.00
Closest atoms and distances in Å follow each position.
Fractional coordinates of all 5 atoms:
Tl1 0.0000 0.0000 0.0000  2 P 3.01, 4 Hg 3.36
Ag1 0.0000 0.5000 0.5000  2 P 2.38
Ag2 0.5000 0.0000 0.5000  2 P 2.38
Hg1 0.5000 0.5000 0.0000  4 Tl 3.36
P1 0.0000 0.0000 0.5000  4 Ag 2.38

Properties
The formation enthalpy at 0 K is 0.164 eV per atom.



Density functional theory data (PBE) for crystalline ScTi3Mn at its relaxed geometry.

a b c (Å): 4.5569 4.5569 4.5569
angles (deg): 90.00 90.00 90.00
Closest atoms and distances in Å follow each position.
Fractional coordinates of all 5 atoms:
Sc1 0.0000 0.0000 0.0000  12 Ti 3.22
Ti1 0.0000 0.5000 0.5000  2 Mn 2.28
Ti2 0.5000 0.0000 0.5000  2 Mn 2.28
Ti3 0.5000 0.5000 0.0000  2 Mn 2.28
Mn1 0.5000 0.5000 0.5000  6 Ti 2.28

Properties
For the offset from the most stable computed form, the calculation gives 0 meV per atom. The formation enthalpy at 0 K is 0.225 eV per atom.